[1]
La2YNi6, optimized geometry, DFT PBE-GGA; formation enthalpy at 0 K = -336 meV per atom
1.0
-0.619 2.844 2.695
-3.864 3.552 -4.638
-3.037 -4.677 4.238
La Ni Y
2 6 1
Cartesian
-4.208 3.653 1.016
-3.313 -1.934 1.280
-2.593 1.050 1.215
-5.933 -0.878 2.482
-1.588 2.597 -0.187
-1.315 -0.125 2.750
-4.928 0.670 1.080
-2.342 -1.707 4.183
0.000 0.000 0.000


[2]
ScMo, optimized geometry, DFT PBE-GGA; formation enthalpy at 0 K = 193 meV per atom; polymorph energy (0 for the lowest one) = 0.43 eV per formula unit
1.0
3.111 0.000 0.000
-1.555 5.739 0.000
0.000 0.000 4.313
Sc Mo
2 2
Cartesian
1.555 3.769 3.234
0.000 1.970 1.078
0.000 5.072 1.078
1.555 0.667 3.234


[3]
TbDyTh2, optimized geometry, DFT PBE-GGA; formation enthalpy at 0 K = 53 meV per atom; polymorph energy (0 for the lowest one) = 0.10 eV per formula unit
1.0
-1.769 0.484 -3.044
-3.055 -0.740 1.658
-1.166 9.826 2.240
Dy Tb Th
1 1 2
Cartesian
-2.412 -0.128 -0.693
-2.995 4.785 0.427
-0.875 7.376 1.681
-0.291 2.450 0.559


[4]
FeSb2AuI, optimized geometry, DFT PBE-GGA; formation energy (no corrections) = 2.61 eV per formula unit; polymorph energy (0 for the lowest one) = 0.00 eV per formula unit
1.0
4.822 0.000 0.000
0.000 4.822 0.000
0.000 0.000 5.524
Sb I Au Fe
2 1 1 1
Cartesian
2.411 0.000 0.000
0.000 2.411 0.000
0.000 0.000 2.762
2.411 2.411 2.762
0.000 0.000 0.000


Values for energy, eV per formula unit, ordered as above
-54.03 -16.78 -23.86 -18.93
Values for D(E_F), states/eV/f.u., ordered as above
10.598 1.601 5.917 1.813